Entry 1:
A plane-wave DFT calculation with PBE was carried out for crystalline Ca2InFe at its relaxed geometry.

Values from the calculation:
The space group is P4/mmm (123). The energy of formation comes out at 166 meV/atom.

Cell lengths 5.0227, 5.0227, 4.0992 Å; angles 90.00, 90.00, 90.00 degrees
Closest atoms and distances in Å follow each position.
Atoms (fractional coordinates):
Ca  0.0000  0.0000  0.0000  4 Fe 3.24, 4 In 3.24, 4 Ca 3.55
Ca  0.5000  0.5000  0.0000  4 In 3.24, 4 Fe 3.24, 4 Ca 3.55
In  0.0000  0.5000  0.5000  8 Ca 3.24, 4 Fe 3.55
Fe  0.5000  0.0000  0.5000  8 Ca 3.24, 4 In 3.55



Entry 2:
A plane-wave DFT calculation with PBE was carried out for crystalline CaSe2IBr at its relaxed geometry.

Values from the calculation:
The formation energy (no corrections) is -224 meV/atom. The space group is P4/mmm (123).

Cell lengths 5.9013, 5.9013, 5.4610 Å; angles 90.00, 90.00, 90.00 degrees
Closest atoms and distances in Å follow each position.
Atoms (fractional coordinates):
Ca  0.0000  0.0000  0.0000  2 Br 2.73, 4 Se 2.95
Br  0.0000  0.0000  0.5000  2 Ca 2.73
Se  0.5000  0.0000  0.0000  2 Ca 2.95
Se  0.0000  0.5000  0.0000  2 Ca 2.95
I  0.5000  0.5000  0.5000  8 Se 4.02, 4 Br 4.17



Entry 3:
A plane-wave DFT calculation with PBE was carried out for crystalline Te3Cl at its relaxed geometry.

Values from the calculation:
The formation energy (no corrections) is -10 meV/atom. The space group is Pmmn (59).

Cell lengths 4.5265, 7.4966, 8.2866 Å; angles 90.00, 90.00, 90.00 degrees
Closest atoms and distances in Å follow each position.
Atoms (fractional coordinates):
Te  0.0000  0.5000  0.5923  4 Te 2.96
Te  0.0000  0.8024  0.2612  3 Te 2.96, 2 Cl 3.21
Te  0.5000  0.3024  0.7388  3 Te 2.96, 2 Cl 3.21
Te  0.0000  0.1976  0.2612  3 Te 2.96, 2 Cl 3.21
Te  0.5000  0.6976  0.7388  3 Te 2.96, 2 Cl 3.21
Te  0.5000  0.0000  0.4077  4 Te 2.96
Cl  0.5000  0.5000  0.2296  4 Te 3.21
Cl  0.0000  0.0000  0.7704  4 Te 3.21



Entry 4:
A plane-wave DFT calculation with PBE was carried out for crystalline HfFePd3 at its relaxed geometry.

Values from the calculation:
The space group is Pm-3m (221). The energy of formation comes out at 475 meV/atom.

Cell lengths 4.5607, 4.5607, 4.5607 Å; angles 90.00, 90.00, 90.00 degrees
Closest atoms and distances in Å follow each position.
Atoms (fractional coordinates):
Pd  0.0000  0.0000  0.5000  2 Fe 2.28
Pd  0.0000  0.5000  0.0000  2 Fe 2.28
Pd  0.5000  0.0000  0.0000  2 Fe 2.28
Hf  0.5000  0.5000  0.5000  12 Pd 3.22
Fe  0.0000  0.0000  0.0000  6 Pd 2.28



Entry 5:
A plane-wave DFT calculation with PBE was carried out for crystalline Al2ZnCo at its relaxed geometry.

Values from the calculation:
The space group is Cm (8). The energy of formation comes out at -206 meV/atom.

Cell lengths 4.8926, 4.8926, 4.4533 Å; angles 66.65, 66.65, 33.77 degrees
Closest atoms and distances in Å follow each position.
Atoms (fractional coordinates):
Al  0.2302  0.2302  0.3309  3 Co 2.48-2.71, 4 Zn 2.66, 1 Al 2.71
Al  0.0026  0.0026  0.9539  4 Co 2.50-2.79, 3 Zn 2.57-2.69, 3 Al 2.71-2.79
Co  0.4996  0.4996  0.4180  5 Al 2.48-2.71, 2 Zn 2.56
Zn  0.7675  0.7675  0.7972  3 Co 2.56-2.86, 7 Al 2.57-2.69, 2 Zn 2.84



Entry 6:
A plane-wave DFT calculation with PBE was carried out for crystalline SrPdC2 at its relaxed geometry.

Values from the calculation:
The space group is I-42d (122). The energy of formation comes out at 1129 meV/atom.

Cell lengths 5.2514, 5.2514, 6.3988 Å; angles 65.77, 65.77, 90.00 degrees
Closest atoms and distances in Å follow each position.
Atoms (fractional coordinates):
Sr  0.2500  0.7500  0.5000  4 C 2.63
Sr  0.5000  0.5000  0.0000  4 C 2.63
C  0.8750  0.9823  0.7500  2 Pd 2.00
C  0.7323  0.1250  0.2500  2 Pd 2.00
C  0.0177  0.6250  0.2500  2 Pd 2.00
C  0.3750  0.2677  0.7500  2 Pd 2.00
Pd  0.7500  0.2500  0.5000  4 C 2.00
Pd  0.0000  0.0000  0.0000  4 C 2.00



Entry 7:
A plane-wave DFT calculation with PBE was carried out for crystalline Tb4TmZn at its relaxed geometry.

Values from the calculation:
The space group is P-1 (2). The energy of formation comes out at 0 meV/atom.

Cell lengths 6.2132, 8.7900, 8.1909 Å; angles 111.56, 103.42, 111.68 degrees
Closest atoms and distances in Å follow each position.
Atoms (fractional coordinates):
Tm  0.6970  0.3982  0.8000  10 Tb 3.35-3.74, 1 Tm 3.62
Tm  0.3030  0.6018  0.2000  10 Tb 3.35-3.74, 1 Tm 3.62
Tb  0.0784  0.1814  0.7965  2 Zn 3.12-3.14, 3 Tb 3.36-3.46, 1 Tm 3.41
Tb  0.9216  0.8186  0.2035  2 Zn 3.12-3.14, 3 Tb 3.36-3.46, 1 Tm 3.41
Tb  0.2832  0.6168  0.7943  2 Zn 3.13-3.14, 2 Tb 3.33-3.45, 2 Tm 3.35-3.45
Tb  0.7612  0.7124  0.6241  2 Zn 3.00-3.29, 2 Tb 3.32-3.36
Tb  0.7168  0.3832  0.2057  2 Zn 3.13-3.14, 2 Tb 3.33-3.45, 2 Tm 3.35-3.45
Tb  0.6417  0.0812  0.3703  2 Zn 3.02-3.18, 1 Tb 3.33
Tb  0.3583  0.9188  0.6297  2 Zn 3.02-3.18, 1 Tb 3.33
Tb  0.2388  0.2876  0.3759  2 Zn 3.00-3.29, 2 Tb 3.32-3.36
Zn  0.7618  0.0240  0.0023  8 Tb 3.00-3.29, 2 Zn 3.11-3.15
Zn  0.2382  0.9760  0.9977  8 Tb 3.00-3.29, 2 Zn 3.11-3.15



Entry 8:
A plane-wave DFT calculation with PBE was carried out for crystalline TaSb2MoI at its relaxed geometry.

Values from the calculation:
The formation energy (no corrections) is 1214 meV/atom. The space group is P4/mmm (123).

Cell lengths 5.3871, 5.3871, 5.5097 Å; angles 90.00, 90.00, 90.00 degrees
Closest atoms and distances in Å follow each position.
Atoms (fractional coordinates):
Mo  0.5000  0.5000  0.5000  4 I 3.81, 8 Sb 3.85
I  0.0000  0.0000  0.5000  2 Ta 2.75
Sb  0.0000  0.5000  0.0000  2 Ta 2.69
Sb  0.5000  0.0000  0.0000  2 Ta 2.69
Ta  0.0000  0.0000  0.0000  4 Sb 2.69, 2 I 2.75